No. 1
## Sr2Al7Ag12 (GGA-PBE)

Data for an optimized crystal structure of Sr2Al7Ag12.

Lattice parameters (Å, degrees): 10.691 10.691 4.258 90.00 90.00 120.00
Element x y z (fractional)
Sr: 0.333 0.667 0.246
Sr: 0.667 0.333 0.754
Al: 0.000 0.000 0.500
Al: 0.110 0.707 0.743
Al: 0.293 0.403 0.743
Al: 0.403 0.110 0.257
Al: 0.597 0.890 0.743
Al: 0.707 0.597 0.257
Al: 0.890 0.293 0.257
Ag: 0.060 0.437 0.752
Ag: 0.123 0.260 0.236
Ag: 0.137 0.877 0.236
Ag: 0.260 0.137 0.764
Ag: 0.377 0.940 0.752
Ag: 0.437 0.377 0.248
Ag: 0.563 0.623 0.752
Ag: 0.623 0.060 0.248
Ag: 0.740 0.863 0.236
Ag: 0.863 0.123 0.764
Ag: 0.877 0.740 0.764
Ag: 0.940 0.563 0.248

Computed properties:
Calculated total energy ... -3.1442 eV per atom
E_form ... -0.11 eV per atom


No. 2
## NbH3Ru2 (GGA-PBE)

Data for an optimized crystal structure of NbH3Ru2.

Lattice parameters (Å, degrees): 4.089 8.734 5.782 90.00 90.01 90.00
Element x y z (fractional)
Nb: 0.250 0.084 0.141
Nb: 0.250 0.416 0.641
Nb: 0.750 0.584 0.359
Nb: 0.750 0.916 0.859
H: 0.250 0.570 0.355
H: 0.250 0.599 0.891
H: 0.250 0.901 0.391
H: 0.250 0.930 0.855
H: 0.252 0.243 0.403
H: 0.252 0.257 0.903
H: 0.748 0.743 0.097
H: 0.748 0.757 0.597
H: 0.750 0.070 0.145
H: 0.750 0.099 0.609
H: 0.750 0.401 0.109
H: 0.750 0.430 0.645
Ru: 0.250 0.085 0.628
Ru: 0.250 0.415 0.128
Ru: 0.250 0.745 0.627
Ru: 0.250 0.755 0.127
Ru: 0.750 0.245 0.873
Ru: 0.750 0.255 0.373
Ru: 0.750 0.585 0.872
Ru: 0.750 0.915 0.372

Computed properties:
Calculated total energy ... -6.5610 eV per atom